Entry 1:
## YSnPt5 (GGA-PBE)

Data for an optimized crystal structure of YSnPt5.

a = 5.4637 Å, b = 8.7922 Å, c = 10.8231 Å
α = 90.00°, β = 90.00°, γ = 90.00°
With the nearest neighbours (Å) after each atom.
Sites, in units of the cell vectors:
Sn (0.7500, 0.6554, 0.3500)  8 Pt 2.59-2.90
Sn (0.7500, 0.1554, 0.1500)  8 Pt 2.59-2.90
Sn (0.2500, 0.8446, 0.8500)  8 Pt 2.59-2.90
Sn (0.2500, 0.3446, 0.6500)  8 Pt 2.59-2.90
Pt (0.7500, 0.8104, 0.7650)  6 Pt 2.64-2.79, 2 Sn 2.90
Pt (0.9930, 0.4410, 0.2019)  7 Pt 2.64-2.81, 2 Sn 2.81-2.90
Pt (0.0070, 0.0590, 0.7019)  7 Pt 2.64-2.81, 2 Sn 2.81-2.90
Pt (0.7500, 0.0559, 0.9243)  1 Sn 2.59, 3 Pt 2.76-2.79
Pt (0.2500, 0.5978, 0.0181)  5 Pt 2.75-2.80, 1 Sn 2.83, 2 Y 3.05
Pt (0.2500, 0.6896, 0.2650)  6 Pt 2.64-2.79, 2 Sn 2.90
Pt (0.4930, 0.5590, 0.7981)  7 Pt 2.64-2.81, 2 Sn 2.81-2.90
Pt (0.4930, 0.0590, 0.7019)  7 Pt 2.64-2.81, 2 Sn 2.81-2.90
Pt (0.2500, 0.1896, 0.2350)  6 Pt 2.64-2.79, 2 Sn 2.90
Pt (0.7500, 0.4022, 0.9819)  5 Pt 2.75-2.80, 1 Sn 2.83, 2 Y 3.05
Pt (0.2500, 0.4441, 0.4243)  1 Sn 2.59, 3 Pt 2.76-2.79
Pt (0.2500, 0.9441, 0.0757)  1 Sn 2.59, 3 Pt 2.76-2.79
Pt (0.9930, 0.9410, 0.2981)  7 Pt 2.64-2.81, 2 Sn 2.81-2.90
Pt (0.5070, 0.4410, 0.2019)  7 Pt 2.64-2.81, 2 Sn 2.81-2.90
Pt (0.0070, 0.5590, 0.7981)  7 Pt 2.64-2.81, 2 Sn 2.81-2.90
Pt (0.7500, 0.9022, 0.5181)  5 Pt 2.75-2.80, 1 Sn 2.83, 2 Y 3.05
Pt (0.5070, 0.9410, 0.2981)  7 Pt 2.64-2.81, 2 Sn 2.81-2.90
Pt (0.7500, 0.3104, 0.7350)  6 Pt 2.64-2.79, 2 Sn 2.90
Pt (0.7500, 0.5559, 0.5757)  1 Sn 2.59, 3 Pt 2.76-2.79
Pt (0.2500, 0.0978, 0.4819)  5 Pt 2.75-2.80, 1 Sn 2.83, 2 Y 3.05
Y (0.7500, 0.2473, 0.4504)  7 Pt 3.03-3.25, 1 Sn 3.35
Y (0.7500, 0.7473, 0.0496)  7 Pt 3.03-3.25, 1 Sn 3.35
Y (0.2500, 0.7527, 0.5496)  7 Pt 3.03-3.25, 1 Sn 3.35
Y (0.2500, 0.2527, 0.9504)  7 Pt 3.03-3.25, 1 Sn 3.35

Properties
Calculated formation energy = -63 kJ/mol of atoms
Theoretical density = 15.1 Mg/m³

Entry 2:
## Li2NdSn3Te6 (GGA-PBE)

Data for an optimized crystal structure of Li2NdSn3Te6.

a = 7.6002 Å, b = 7.6002 Å, c = 7.8366 Å
α = 99.32°, β = 99.32°, γ = 120.06°
With the nearest neighbours (Å) after each atom.
Sites, in units of the cell vectors:
Sn (0.8387, 0.1613, 0.5000)  6 Te 3.13-3.19
Sn (0.5000, 0.5000, 0.5000)  6 Te 3.13-3.18
Sn (0.1613, 0.8387, 0.5000)  6 Te 3.13-3.19
Li (0.6726, 0.3274, 0.0000)  6 Te 3.04-3.15
Li (0.3274, 0.6726, 0.0000)  6 Te 3.04-3.15
Te (0.2581, 0.2581, 0.7558)  3 Sn 3.13, 2 Li 3.15, 1 Nd 3.15
Te (0.9184, 0.5801, 0.7567)  2 Li 3.04-3.09, 1 Nd 3.14, 3 Sn 3.18-3.19
Te (0.0816, 0.4199, 0.2433)  2 Li 3.04-3.09, 1 Nd 3.14, 3 Sn 3.18-3.19
Te (0.5801, 0.9184, 0.7567)  2 Li 3.04-3.09, 1 Nd 3.14, 3 Sn 3.18-3.19
Te (0.7419, 0.7419, 0.2442)  3 Sn 3.13, 2 Li 3.15, 1 Nd 3.15
Te (0.4199, 0.0816, 0.2433)  2 Li 3.04-3.09, 1 Nd 3.14, 3 Sn 3.18-3.19
Nd (0.0000, 0.0000, 0.0000)  6 Te 3.14-3.15

Properties
Calculated total energy = -47.4 eV/cell
Theoretical density = 5.7 Mg/m³

Entry 3:
## Tb4GeOs (GGA-PBE)

Data for an optimized crystal structure of Tb4GeOs.

a = 6.2201 Å, b = 7.9764 Å, c = 7.9764 Å
α = 111.99°, β = 106.10°, γ = 106.10°
With the nearest neighbours (Å) after each atom.
Sites, in units of the cell vectors:
Os (0.2500, 0.0009, 0.9991)  8 Tb 2.85-2.94, 2 Os 3.11
Os (0.7500, 0.9991, 0.0009)  8 Tb 2.85-2.94, 2 Os 3.11
Tb (0.2001, 0.3565, 0.2252)  2 Os 2.85-2.89, 2 Ge 3.10-3.13
Tb (0.4151, 0.7058, 0.0553)  2 Os 2.93-2.94, 2 Ge 3.08-3.14
Tb (0.5849, 0.2942, 0.9447)  2 Os 2.93-2.94, 2 Ge 3.08-3.14
Tb (0.9151, 0.0553, 0.7058)  2 Os 2.93-2.94, 2 Ge 3.08-3.14
Tb (0.2999, 0.7748, 0.6435)  2 Os 2.85-2.89, 2 Ge 3.10-3.13
Tb (0.7999, 0.6435, 0.7748)  2 Os 2.85-2.89, 2 Ge 3.10-3.13
Tb (0.7001, 0.2252, 0.3565)  2 Os 2.85-2.89, 2 Ge 3.10-3.13
Tb (0.0849, 0.9447, 0.2942)  2 Os 2.93-2.94, 2 Ge 3.08-3.14
Ge (0.7500, 0.6311, 0.3689)  8 Tb 3.08-3.14
Ge (0.2500, 0.3689, 0.6311)  8 Tb 3.08-3.14

Properties
Calculated formation energy = -43 kJ/mol of atoms
Theoretical density = 9.4 Mg/m³

Entry 4:
## K3Sm3US8 (GGA-PBE)

Data for an optimized crystal structure of K3Sm3US8.

a = 8.2126 Å, b = 8.2117 Å, c = 8.8618 Å
α = 117.61°, β = 90.00°, γ = 120.00°
With the nearest neighbours (Å) after each atom.
Sites, in units of the cell vectors:
S (0.2261, 0.4522, 0.6960)  1 U 2.72, 2 Sm 2.82
S (0.2562, 0.0300, 0.3040)  1 U 2.72, 2 Sm 2.82
S (0.2261, 0.9700, 0.6960)  1 U 2.72, 2 Sm 2.82
S (0.7349, 0.4698, 0.7046)  3 Sm 2.82
S (0.7739, 0.5478, 0.3040)  1 U 2.72, 2 Sm 2.82
S (0.7438, 0.9700, 0.6960)  1 U 2.72, 2 Sm 2.82
S (0.7739, 0.0300, 0.3040)  1 U 2.72, 2 Sm 2.82
S (0.2651, 0.5302, 0.2954)  3 Sm 2.82
K (0.0000, 0.0000, 0.0000)  6 S 3.24-3.26
K (0.0000, 0.5000, 0.0000)  6 S 3.24-3.26
K (0.5000, 0.5000, 0.0000)  6 S 3.24-3.26
Sm (0.5000, 0.5000, 0.5000)  6 S 2.82
Sm (0.5000, 0.0000, 0.5000)  6 S 2.82
Sm (0.0000, 0.5000, 0.5000)  6 S 2.82
U (0.0000, 0.0000, 0.5000)  6 S 2.72

Properties
Calculated total energy = -88.3 eV/cell
Theoretical density = 4.0 Mg/m³

Entry 5:
## PrNd2O (GGA-PBE)

Data for an optimized crystal structure of PrNd2O.

a = 3.2682 Å, b = 3.2682 Å, c = 9.3491 Å
α = 90.00°, β = 90.00°, γ = 90.00°
With the nearest neighbours (Å) after each atom.
Sites, in units of the cell vectors:
Nd (0.0000, 0.0000, 0.1679)  4 O 2.79
Nd (0.0000, 0.0000, 0.8321)  4 O 2.79
Pr (0.5000, 0.5000, 0.5000)  4 Pr 3.27
O (0.5000, 0.5000, 0.0000)  8 Nd 2.79

Properties
Offset from the most stable computed form = 1.41 eV/f.u.
Theoretical density = 7.4 Mg/m³

Entry 6:
## KScMo2 (GGA-PBE)

Data for an optimized crystal structure of KScMo2.

a = 5.9844 Å, b = 5.9844 Å, c = 5.9844 Å
α = 147.89°, β = 135.93°, γ = 55.56°
With the nearest neighbours (Å) after each atom.
Sites, in units of the cell vectors:
Mo (0.5098, 0.5098, 0.0000)  4 Mo 2.80, 2 Sc 3.03
Mo (0.9902, 0.9902, 0.0000)  4 Mo 2.80, 2 Sc 3.03
Sc (0.7500, 0.2500, 0.5000)  4 K 2.79, 4 Mo 3.03
K (0.2500, 0.7500, 0.5000)  4 Sc 2.79

Properties
Offset from the most stable computed form = 2.81 eV/f.u.
Calculated formation energy = 114 kJ/mol of atoms
Theoretical density = 5.8 Mg/m³

Entry 7:
## FeSb2Pt4 (GGA-PBE)

Data for an optimized crystal structure of FeSb2Pt4.

a = 4.7066 Å, b = 4.7066 Å, c = 7.4461 Å
α = 71.58°, β = 71.58°, γ = 90.00°
With the nearest neighbours (Å) after each atom.
Sites, in units of the cell vectors:
Pt (0.0000, 0.5000, 0.0000)  2 Fe 2.35
Pt (0.1836, 0.1836, 0.6328)  1 Fe 2.45, 1 Sb 2.55
Pt (0.8164, 0.8164, 0.3672)  1 Fe 2.45, 1 Sb 2.55
Pt (0.5000, 0.0000, 0.0000)  2 Fe 2.35
Fe (0.0000, 0.0000, 0.0000)  6 Pt 2.35-2.45
Sb (0.3749, 0.3749, 0.2502)  1 Pt 2.55
Sb (0.6251, 0.6251, 0.7498)  1 Pt 2.55

Properties
Calculated total energy = -38.3 eV/cell
Theoretical density = 12.2 Mg/m³

Entry 8:
## SrZn2Cu2 (GGA-PBE)

Data for an optimized crystal structure of SrZn2Cu2.

a = 7.7937 Å, b = 7.7937 Å, c = 2.8754 Å
α = 90.00°, β = 90.00°, γ = 90.00°
With the nearest neighbours (Å) after each atom.
Sites, in units of the cell vectors:
Sr (0.5000, 0.5000, 0.0000)  2 Sr 2.88, 4 Zn 3.11
Sr (0.0000, 0.0000, 0.0000)  2 Sr 2.88, 4 Zn 3.11
Cu (0.8277, 0.3277, 0.5000)  6 Zn 2.72, 2 Cu 2.88
Cu (0.1723, 0.6723, 0.5000)  6 Zn 2.72, 2 Cu 2.88
Cu (0.3277, 0.1723, 0.5000)  6 Zn 2.72, 2 Cu 2.88
Cu (0.6723, 0.8277, 0.5000)  6 Zn 2.72, 2 Cu 2.88
Zn (0.8813, 0.6187, 0.0000)  3 Zn 2.62-2.88, 6 Cu 2.72
Zn (0.3813, 0.8813, 0.0000)  3 Zn 2.62-2.88, 6 Cu 2.72
Zn (0.6187, 0.1187, 0.0000)  3 Zn 2.62-2.88, 6 Cu 2.72
Zn (0.1187, 0.3813, 0.0000)  3 Zn 2.62-2.88, 6 Cu 2.72

Properties
Offset from the most stable computed form = 1.05 eV/f.u.
Calculated formation energy = 6 kJ/mol of atoms
Theoretical density = 6.6 Mg/m³

Entry 9:
## ReHRh2Cl (GGA-PBE)

Data for an optimized crystal structure of ReHRh2Cl.

a = 4.7745 Å, b = 4.5948 Å, c = 4.7745 Å
α = 90.00°, β = 90.00°, γ = 90.00°
With the nearest neighbours (Å) after each atom.
Sites, in units of the cell vectors:
Cl (0.0000, 0.5000, 0.0000)  2 Re 2.30
Rh (0.5000, 0.0000, 0.0000)  2 Re 2.39
Rh (0.0000, 0.0000, 0.5000)  2 Re 2.39
H (0.5000, 0.5000, 0.5000)  8 Rh 3.31, 4 Cl 3.38
Re (0.0000, 0.0000, 0.0000)  2 Cl 2.30, 4 Rh 2.39

Properties
Calculated total energy = -24.8 eV/cell
Theoretical density = 6.8 Mg/m³